[1]
Here is crystalline LiPu2Ga4Pt3 at its relaxed geometry from Alexandria via LeMat-Bulk. Energies are from PBE-GGA.

Cell lengths 4.1271, 4.1271, 11.1359 Å; angles 90.00, 90.00, 90.00 degrees
Last column: nearest neighbours and their distance in Å.
Space group P-4m2 (No. 115)
Asymmetric unit:
1 Li 0.0000 0.0000 0.0000 x1  4 Ga 2.53
2 Pu 0.0000 0.5000 0.7443 x2  4 Pt 3.14, 8 Ga 3.23-3.41
3 Ga 0.0000 0.0000 0.5000 x1  4 Pt 2.59
4 Ga 0.0000 0.5000 0.1319 x2  3 Pt 2.53, 2 Li 2.53
5 Ga 0.5000 0.5000 0.5000 x1  4 Pt 2.59
6 Pt 0.0000 0.5000 0.3589 x2  5 Ga 2.53-2.59
7 Pt 0.5000 0.5000 0.0000 x1  4 Ga 2.53

Output
energy of formation from the pure elements	-0.660	eV/atom

***

[2]
Here is crystalline LiPuGaPt at its relaxed geometry from Alexandria via LeMat-Bulk. Energies are from PBE-GGA.

Cell lengths 6.6357, 6.6357, 6.6357 Å; angles 90.00, 90.00, 90.00 degrees
Last column: nearest neighbours and their distance in Å.
Space group F-43m (No. 216)
Asymmetric unit:
1 Li 0.0000 0.0000 0.0000 x4  4 Pu 2.87, 4 Ga 2.87
2 Pu 0.2500 0.2500 0.7500 x4  4 Li 2.87, 4 Pt 2.87
3 Ga 0.2500 0.2500 0.2500 x4  4 Li 2.87, 4 Pt 2.87
4 Pt 0.0000 0.0000 0.5000 x4  4 Pu 2.87, 4 Ga 2.87

Output
energy of formation from the pure elements	-0.485	eV/atom

***

[3]
Here is crystalline RbLi2GaPt at its relaxed geometry from Alexandria via LeMat-Bulk. Energies are from PBE-GGA.

Cell lengths 5.1664, 5.1664, 4.8130 Å; angles 90.00, 90.00, 90.00 degrees
Last column: nearest neighbours and their distance in Å.
Space group P4/mmm (No. 123)
Asymmetric unit:
1 Rb 0.0000 0.0000 0.0000 x1  8 Li 3.53, 4 Ga 3.65
2 Li 0.0000 0.5000 0.5000 x2  2 Pt 2.58
3 Ga 0.5000 0.5000 0.0000 x1  2 Pt 2.41
4 Pt 0.5000 0.5000 0.5000 x1  2 Ga 2.41, 4 Li 2.58

Output
energy of formation from the pure elements	-0.306	eV/atom

***

[4]
Here is crystalline LiGa4Pt2Rh at its relaxed geometry from Alexandria via LeMat-Bulk. Energies are from PBE-GGA.

Cell lengths 4.3585, 4.3585, 21.5450 Å; angles 90.00, 90.00, 120.00 degrees
Last column: nearest neighbours and their distance in Å.
Space group R-3m (No. 166, hexagonal axes)
Asymmetric unit:
1 Li 0.0000 0.0000 0.0000 x3  8 Ga 2.68-2.78
2 Ga 0.0000 0.0000 0.1290 x6  3 Rh 2.64, 4 Pt 2.71-2.74, 1 Li 2.78
3 Ga 0.0000 0.0000 0.3764 x6  4 Pt 2.62-2.63, 1 Rh 2.66, 3 Li 2.68
4 Pt 0.0000 0.0000 0.2547 x6  8 Ga 2.62-2.74
5 Rh 0.0000 0.0000 0.5000 x3  8 Ga 2.64-2.66

Output
energy of formation from the pure elements	-0.612	eV/atom